--- w ---
Tb3DyHo6 after structural relaxation, computed with PBE.

Values from the calculation:
The magnetic moment comes out at 0.000 Bohr magnetons per cell. Its density is 8.59 Mg/m³.

Cell: 6.330 11.474 11.474 Å, 130.91 90.00 90.00°
Element x y z (fractional)
1 Tb 0.488 0.959 0.703
2 Tb 0.988 0.703 0.959
3 Tb 0.094 0.420 0.580
4 Tb 0.594 0.580 0.420
5 Tb 0.988 0.041 0.297
6 Tb 0.488 0.297 0.041
7 Dy 0.014 0.161 0.839
8 Dy 0.514 0.839 0.161
9 Ho 0.069 0.743 0.621
10 Ho 0.569 0.621 0.743
11 Ho 0.329 0.457 0.895
12 Ho 0.829 0.895 0.457
13 Ho 0.317 0.986 0.014
14 Ho 0.790 0.302 0.698
15 Ho 0.290 0.698 0.302
16 Ho 0.817 0.014 0.986
17 Ho 0.329 0.105 0.543
18 Ho 0.829 0.543 0.105
19 Ho 0.069 0.379 0.257
20 Ho 0.569 0.257 0.379

---

--- x ---
Tb3DyHo6 after structural relaxation, computed with PBE.

Values from the calculation:
The magnetic moment comes out at 0.002 Bohr magnetons per cell. Its density is 8.53 Mg/m³.

Cell: 6.155 10.890 10.890 Å, 119.71 90.00 90.00°
Element x y z (fractional)
1 Tb 0.458 0.939 0.720
2 Tb 0.958 0.720 0.939
3 Tb 0.069 0.390 0.610
4 Tb 0.569 0.610 0.390
5 Tb 0.958 0.061 0.280
6 Tb 0.458 0.280 0.061
7 Dy 0.145 0.207 0.793
8 Dy 0.645 0.793 0.207
9 Ho 0.036 0.711 0.618
10 Ho 0.536 0.618 0.711
11 Ho 0.364 0.538 0.958
12 Ho 0.864 0.958 0.538
13 Ho 0.416 0.953 0.047
14 Ho 0.642 0.282 0.718
15 Ho 0.142 0.718 0.282
16 Ho 0.916 0.047 0.953
17 Ho 0.364 0.042 0.462
18 Ho 0.864 0.462 0.042
19 Ho 0.036 0.382 0.289
20 Ho 0.536 0.289 0.382

---

We find w to be the most stable, with the next structure 0.027 eV/atom higher.

---

--- w ---
Tb5Dy4Ho3 after structural relaxation, computed with PBE.

Values from the calculation:
The magnetic moment comes out at 0.000 Bohr magnetons per cell. Its density is 8.58 Mg/m³.

Cell: 7.077 11.183 12.750 Å, 151.29 56.34 129.30°
Element x y z (fractional)
1 Tb 0.334 0.667 0.833
2 Tb 0.500 0.000 0.500
3 Tb 0.750 0.500 0.000
4 Tb 0.250 0.500 0.000
5 Tb 0.666 0.333 0.167
6 Dy 0.916 0.833 0.666
7 Dy 0.834 0.667 0.834
8 Dy 0.166 0.333 0.166
9 Dy 0.084 0.167 0.334
10 Ho 0.584 0.167 0.333
11 Ho 0.000 0.000 0.500
12 Ho 0.416 0.833 0.667

---

--- x ---
Tb5Dy4Ho3 after structural relaxation, computed with PBE.

Values from the calculation:
The magnetic moment comes out at 0.390 Bohr magnetons per cell. Its density is 8.35 Mg/m³.

Cell: 5.846 8.519 9.567 Å, 106.02 72.21 69.93°
Last column: magnetic moment on the atom in μB.
Element x y z (fractional)
1 Tb 0.627 0.948 0.799  0.01
2 Tb 0.500 0.500 0.500  0.14
3 Tb 0.213 0.460 0.114  0.01
4 Tb 0.787 0.540 0.886  0.01
5 Tb 0.373 0.052 0.201  0.01
6 Dy 0.859 0.222 0.060  0.00
7 Dy 0.164 0.050 0.622  0.00
8 Dy 0.836 0.950 0.378  0.00
9 Dy 0.141 0.778 0.940  0.00
10 Ho 0.521 0.688 0.270  0.01
11 Ho 0.000 0.500 0.500  0.16
12 Ho 0.479 0.312 0.730  0.01

---

We find w to be the most stable, with the next structure 0.223 eV/atom higher.

---

--- w ---
Tb7DyHo2 after structural relaxation, computed with PBE.

Values from the calculation:
The magnetic moment comes out at 0.000 Bohr magnetons per cell. Its density is 6.88 Mg/m³.

Cell: 5.297 9.483 9.483 Å, 125.54 90.00 90.00°
Element x y z (fractional)
1 Tb 0.000 0.799 0.201
2 Tb 0.000 0.201 0.799
3 Tb 0.500 0.068 0.289
4 Tb 0.500 0.932 0.711
5 Tb 0.500 0.289 0.068
6 Tb 0.500 0.711 0.932
7 Tb 0.500 0.500 0.500
8 Dy 0.000 0.000 0.000
9 Ho 0.500 0.702 0.298
10 Ho 0.500 0.298 0.702

---

--- x ---
Tb7DyHo2 after structural relaxation, computed with PBE.

Values from the calculation:
The magnetic moment comes out at 0.000 Bohr magnetons per cell. Its density is 8.47 Mg/m³.

Cell: 6.141 9.379 6.128 Å, 108.98 99.67 102.62°
Element x y z (fractional)
1 Tb 0.000 0.800 0.400
2 Tb 0.000 0.200 0.600
3 Tb 0.000 0.600 0.800
4 Tb 0.000 0.400 0.200
5 Tb 0.500 0.900 0.199
6 Tb 0.500 0.100 0.801
7 Tb 0.500 0.500 0.000
8 Dy 0.000 0.000 0.000
9 Ho 0.500 0.700 0.600
10 Ho 0.500 0.300 0.400

---

We find x to be the most stable, with the next structure 0.673 eV/atom higher.

---

--- w ---
Tb2DyHo7 after structural relaxation, computed with PBE.

Values from the calculation:
The magnetic moment comes out at 0.000 Bohr magnetons per cell. Its density is 8.76 Mg/m³.

Cell: 6.112 9.318 9.327 Å, 141.80 109.07 77.39°
Element x y z (fractional)
1 Tb 0.500 0.900 0.600
2 Tb 0.500 0.100 0.400
3 Dy 0.000 0.000 0.000
4 Ho 0.000 0.600 0.400
5 Ho 0.000 0.400 0.600
6 Ho 0.500 0.700 0.800
7 Ho 0.500 0.300 0.200
8 Ho 0.000 0.800 0.200
9 Ho 0.000 0.200 0.800
10 Ho 0.500 0.500 0.000

---

--- x ---
Tb2DyHo7 after structural relaxation, computed with PBE.

Values from the calculation:
The magnetic moment comes out at 0.000 Bohr magnetons per cell. Its density is 7.17 Mg/m³.

Cell: 5.109 9.622 9.622 Å, 126.84 90.00 90.00°
Element x y z (fractional)
1 Tb 0.500 0.701 0.299
2 Tb 0.500 0.299 0.701
3 Dy 0.000 0.000 0.000
4 Ho 0.000 0.805 0.195
5 Ho 0.000 0.195 0.805
6 Ho 0.500 0.072 0.287
7 Ho 0.500 0.928 0.713
8 Ho 0.500 0.287 0.072
9 Ho 0.500 0.713 0.928
10 Ho 0.500 0.500 0.500

---

We find w to be the most stable, with the next structure 0.680 eV/atom higher.

---

--- w ---
TbDy6Ho2 after structural relaxation, computed with PBE.

Values from the calculation:
The magnetic moment comes out at 0.000 Bohr magnetons per cell. Its density is 8.67 Mg/m³.

Cell: 3.535 8.643 12.725 Å, 132.77 82.02 90.06°
Element x y z (fractional)
1 Tb 0.000 0.000 0.000
2 Dy 0.889 0.556 0.222
3 Dy 0.111 0.444 0.778
4 Dy 0.667 0.666 0.667
5 Dy 0.778 0.110 0.444
6 Dy 0.222 0.890 0.556
7 Dy 0.333 0.334 0.333
8 Ho 0.444 0.777 0.111
9 Ho 0.556 0.223 0.889

---

--- x ---
TbDy6Ho2 after structural relaxation, computed with PBE.

Values from the calculation:
The magnetic moment comes out at 0.000 Bohr magnetons per cell. Its density is 7.83 Mg/m³.

Cell: 6.942 6.942 8.451 Å, 65.75 65.75 60.00°
Element x y z (fractional)
1 Tb 0.334 0.334 0.997
2 Dy 0.771 0.279 0.671
3 Dy 0.279 0.771 0.671
4 Dy 0.279 0.279 0.671
5 Dy 0.054 0.566 0.326
6 Dy 0.054 0.054 0.326
7 Dy 0.566 0.054 0.326
8 Ho 0.747 0.747 0.760
9 Ho 0.582 0.582 0.254

---

We find w to be the most stable, with the next structure 0.375 eV/atom higher.

---

--- w ---
Tb5Dy4Ho2 after structural relaxation, computed with PBE.

Values from the calculation:
The magnetic moment comes out at 0.000 Bohr magnetons per cell. Its density is 8.15 Mg/m³.

Cell: 3.481 9.005 12.506 Å, 111.10 98.00 90.00°
Element x y z (fractional)
1 Tb 0.854 0.054 0.709
2 Tb 0.854 0.655 0.709
3 Tb 0.146 0.345 0.291
4 Tb 0.146 0.946 0.291
5 Tb 0.500 0.000 0.000
6 Dy 0.000 0.308 0.000
7 Dy 0.597 0.597 0.194
8 Dy 0.000 0.692 0.000
9 Dy 0.403 0.403 0.806
10 Ho 0.269 0.269 0.538
11 Ho 0.731 0.731 0.462

---

--- x ---
Tb5Dy4Ho2 after structural relaxation, computed with PBE.

Values from the calculation:
The magnetic moment comes out at 0.000 Bohr magnetons per cell. Its density is 8.46 Mg/m³.

Cell: 3.638 9.815 12.110 Å, 119.74 81.36 111.78°
Element x y z (fractional)
1 Tb 0.898 0.024 0.252
2 Tb 0.102 0.976 0.748
3 Tb 0.573 0.810 0.475
4 Tb 0.500 0.000 0.000
5 Tb 0.427 0.190 0.525
6 Dy 0.740 0.409 0.339
7 Dy 0.313 0.337 0.047
8 Dy 0.260 0.591 0.661
9 Dy 0.687 0.663 0.953
10 Ho 0.925 0.321 0.792
11 Ho 0.075 0.679 0.208

---

We find x to be the most stable, with the next structure 0.167 eV/atom higher.

---

--- w ---
Tb3Dy4Ho8 after structural relaxation, computed with PBE.

Values from the calculation:
The magnetic moment comes out at 0.000 Bohr magnetons per cell. Its density is 8.49 Mg/m³.

Cell: 6.882 6.882 12.319 Å, 73.78 73.78 60.00°
Element x y z (fractional)
1 Tb 0.500 0.000 0.500
2 Tb 0.000 0.000 0.500
3 Tb 0.000 0.500 0.500
4 Dy 0.000 0.000 0.000
5 Dy 0.336 0.336 0.991
6 Dy 0.500 0.500 0.500
7 Dy 0.664 0.664 0.009
8 Ho 0.245 0.245 0.264
9 Ho 0.248 0.751 0.250
10 Ho 0.751 0.751 0.250
11 Ho 0.751 0.248 0.250
12 Ho 0.755 0.755 0.736
13 Ho 0.752 0.249 0.750
14 Ho 0.249 0.249 0.750
15 Ho 0.249 0.752 0.750

---

--- x ---
Tb3Dy4Ho8 after structural relaxation, computed with PBE.

Values from the calculation:
The magnetic moment comes out at 0.000 Bohr magnetons per cell. Its density is 8.33 Mg/m³.

Cell: 6.687 9.193 9.193 Å, 87.61 111.33 111.33°
Element x y z (fractional)
1 Tb 0.500 0.500 0.000
2 Tb 0.500 0.000 0.500
3 Tb 0.500 0.500 0.500
4 Dy 0.500 0.000 0.000
5 Dy 0.000 0.500 0.000
6 Dy 0.000 0.000 0.000
7 Dy 0.000 0.000 0.500
8 Ho 0.528 0.267 0.267
9 Ho 0.000 0.641 0.359
10 Ho 0.006 0.266 0.266
11 Ho 0.500 0.747 0.253
12 Ho 0.500 0.253 0.747
13 Ho 0.994 0.734 0.734
14 Ho 0.000 0.359 0.641
15 Ho 0.472 0.733 0.733

---

We find w to be the most stable, with the next structure 0.257 eV/atom higher.

---

--- w ---
Tb4Dy3Ho2 after structural relaxation, computed with PBE.

Values from the calculation:
The magnetic moment comes out at 0.000 Bohr magnetons per cell. Its density is 8.56 Mg/m³.

Cell: 6.093 11.196 11.196 Å, 61.92 61.98 61.98°
Element x y z (fractional)
1 Tb 0.421 0.905 0.188
2 Tb 0.079 0.812 0.095
3 Tb 0.579 0.095 0.812
4 Tb 0.921 0.188 0.905
5 Tb 0.078 0.145 0.430
6 Tb 0.422 0.570 0.855
7 Tb 0.922 0.855 0.570
8 Tb 0.578 0.430 0.145
9 Dy 0.745 0.070 0.264
10 Dy 0.755 0.736 0.930
11 Dy 0.255 0.930 0.736
12 Dy 0.245 0.264 0.070
13 Dy 0.250 0.597 0.403
14 Dy 0.750 0.403 0.597
15 Ho 0.421 0.240 0.521
16 Ho 0.079 0.479 0.760
17 Ho 0.579 0.760 0.479
18 Ho 0.921 0.521 0.240

---

--- x ---
Tb4Dy3Ho2 after structural relaxation, computed with PBE.

Values from the calculation:
The magnetic moment comes out at 0.000 Bohr magnetons per cell. Its density is 8.55 Mg/m³.

Cell: 5.001 7.914 14.617 Å, 144.47 90.00 108.42°
Element x y z (fractional)
1 Tb 0.666 0.332 0.000
2 Tb 0.334 0.668 0.000
3 Tb 0.889 0.777 0.666
4 Tb 0.111 0.223 0.334
5 Dy 0.556 0.112 0.667
6 Dy 0.000 0.000 0.000
7 Dy 0.444 0.888 0.333
8 Ho 0.778 0.557 0.334
9 Ho 0.222 0.443 0.666

---

We find x to be the most stable, with the next structure 0.082 eV/atom higher.